First-principles (meta-GGA SCAN) data for MnFe2Mo at its PBEsol-relaxed geometry, as listed in the Alexandria database.

Raw total energy (eV per atom): -22.28
Density of states at the Fermi level (states/eV/f.u.): 1.775
Theoretical density (g/cm3): 9.18
SG: No. 123
ΔE to the lowest computed polymorph (kJ/mol of formula units): 12

Structure (POSCAR):
```
MnFe2Mo
1.0
3.017 0.000 0.000
0.000 3.968 0.000
0.000 0.000 3.968
Fe Mn Mo
2 1 1
direct
0.000 0.000 0.500
0.000 0.500 0.000
0.500 0.500 0.500
0.500 0.000 0.000
```